Here is a relaxed structure of BeAl2Ag from Alexandria. Energies are from PBE-GGA.

calculated volume: 59.45 Å³ per cell
E_form: 0.129 eV/atom

Cell and atoms, written as POSCAR:
```
BeAl2Ag
1.0
2.789 0.000 0.000
0.000 2.789 0.000
0.000 0.000 7.643
Be Al Ag
1 2 1
direct
0.000 0.000 0.000
0.000 0.000 0.500
0.500 0.500 0.783
0.500 0.500 0.218
```